# TlSbHPb2

An optimized crystal structure of TlSbHPb2 (PBE, the Alexandria database).

a b c (Å): 5.054 5.054 4.994
angles (deg): 90.00 90.00 90.00
Fractional coordinates of all 5 atoms:
Tl  0.000  0.000  0.500
H  0.000  0.000  0.000
Sb  0.500  0.500  0.500
Pb  0.000  0.500  0.000
Pb  0.500  0.000  0.000

DOS(E_F)	2.23	states/eV/f.u.
total moment	0.00	μB per atom
E_tot	-3.2374	eV/atom